Tm2Si4Ir3Pt | the Alexandria database | PBE-GGA | relaxed; E_form (uncorrected) = -1.04 eV per atom; N(E_F) = 0.5394 states/eV per atom; energy = -73.6 eV/cell
1.0
-0.261 3.907 -1.133
-1.751 -1.133 -3.503
-9.058 0.646 4.319
Pt Si Tm Ir
1 4 2 3
direct
0.500 0.500 0.500
0.500 0.500 0.000
0.500 0.000 0.638
0.000 0.500 0.362
0.000 0.000 0.000
0.500 0.000 0.242
0.000 0.500 0.758
0.000 0.500 0.129
0.000 0.000 0.500
0.500 0.000 0.871

---

TaTe2PI | the Alexandria database | PBE-GGA | relaxed; E_form (uncorrected) = 0.70 eV per atom; N(E_F) = 0.3846 states/eV per atom; energy = -21.6 eV/cell; offset from the most stable computed form = 0.0000 eV/atom
1.0
-0.219 -4.124 -3.482
5.219 0.728 -1.190
1.452 -3.595 4.167
I P Ta Te
1 1 1 2
direct
0.000 0.000 0.500
0.500 0.500 0.500
0.000 0.000 0.000
0.000 0.500 0.000
0.500 0.000 0.000

---

Cs2SrI6F | the Alexandria database | PBE-GGA | relaxed; E_form (uncorrected) = -1.01 eV per atom; N(E_F) = 0.7194 states/eV per atom; energy = -24.7 eV/cell
1.0
8.249 0.000 0.000
0.000 8.249 0.000
4.125 4.125 7.047
I Cs F Sr
6 2 1 1
direct
0.724 0.276 0.000
0.276 0.276 0.000
0.724 0.724 0.000
0.772 0.772 0.456
0.228 0.228 0.544
0.276 0.724 0.000
0.750 0.250 0.500
0.250 0.750 0.500
0.500 0.500 0.000
0.000 0.000 0.000

---

K2TlNi | the Alexandria database | PBE-GGA | relaxed; N(E_F) = 1.8915 states/eV per atom; energy = -8.3 eV/cell; offset from the most stable computed form = 0.3485 eV/atom
1.0
3.610 0.012 0.000
-0.022 3.610 0.000
0.000 0.000 10.176
K Ni Tl
2 1 1
direct
0.000 0.000 0.046
0.000 0.000 0.454
0.500 0.500 0.250
0.500 0.500 0.750

---

Ce2NdY | the Alexandria database | PBE-GGA | relaxed; N(E_F) = 2.7381 states/eV per atom; energy = -22.6 eV/cell; offset from the most stable computed form = 0.0099 eV/atom
1.0
-2.813 -0.626 -1.983
-0.911 -2.628 2.122
-5.510 6.551 5.748
Y Ce Nd
1 2 1
direct
0.500 0.500 0.500
0.000 0.000 0.251
0.000 0.000 0.749
0.500 0.500 0.000

---

Sr2YP2 | the Alexandria database | PBE-GGA | relaxed; N(E_F) = 0.2334 states/eV per atom; energy = -51.2 eV/cell
1.0
7.953 0.000 0.000
0.000 7.953 0.000
0.000 0.000 4.284
Y Sr P
2 4 4
direct
0.000 0.000 0.000
0.500 0.500 0.000
0.641 0.859 0.500
0.859 0.359 0.500
0.141 0.641 0.500
0.359 0.141 0.500
0.829 0.671 0.000
0.171 0.329 0.000
0.671 0.171 0.000
0.329 0.829 0.000

---

Cs2BiTe3 | the Alexandria database | PBE-GGA | relaxed; E_form (uncorrected) = -0.55 eV per atom; N(E_F) = 0.7755 states/eV per atom; energy = -36.6 eV/cell; offset from the most stable computed form = 0.1188 eV/atom
1.0
7.866 0.000 0.000
0.000 10.226 0.362
0.000 -4.695 9.092
Cs Te Bi
4 6 2
direct
0.500 0.823 0.509
0.500 0.509 0.823
0.000 0.491 0.177
0.000 0.177 0.491
0.413 0.911 0.911
0.913 0.089 0.089
0.497 0.449 0.174
0.997 0.826 0.551
0.497 0.174 0.449
0.997 0.551 0.826
0.552 0.170 0.170
0.052 0.830 0.830

---

ScFeRhPb2 | the Alexandria database | PBE-GGA | relaxed; N(E_F) = 1.7144 states/eV per atom; energy = -23.3 eV/cell
1.0
5.548 0.000 0.000
0.000 4.524 0.000
0.000 0.000 5.548
Pb Rh Sc Fe
2 1 1 1
direct
0.000 0.000 0.500
0.500 0.000 0.000
0.000 0.500 0.000
0.000 0.000 0.000
0.500 0.500 0.500